BaPPb2 | PBE | optimized geometry

The value obtained for the total DFT energy (no corrections) is -3.963 eV/atom.

The structure belongs to space group Imm2 (No. 44); the cell edges are 4.264, 5.446 and 11.084 Å and the angles 90.00°, 90.00° and 90.00°. The asymmetric unit holds Ba at (0.000, 0.000, 0.000), P at (0.000, 0.500, 0.724), Pb at (0.000, 0.000, 0.387) and Pb at (0.000, 0.500, 0.221).